No. 1
## Nd8CoPt3Br4 (GGA-PBE)

Data for a geometry-optimized Nd8CoPt3Br4 structure.

a b c (Å): 8.362 9.127 8.366
angles (deg): 117.25 119.99 90.00
Fractional coordinates of all 16 atoms:
Nd (0.224, 0.695, 0.970)
Nd (0.775, 0.305, 0.551)
Nd (0.746, 0.695, 0.970)
Nd (0.225, 0.695, 0.449)
Nd (0.267, 0.301, 0.534)
Nd (0.254, 0.305, 0.030)
Nd (0.733, 0.699, 0.466)
Nd (0.776, 0.305, 0.030)
Br (0.500, 0.000, 0.500)
Br (0.000, 0.000, 0.000)
Br (0.000, 0.000, 0.500)
Br (0.500, 0.000, 0.000)
Co (0.000, 0.500, 0.000)
Pt (0.000, 0.500, 0.500)
Pt (0.500, 0.500, 0.500)
Pt (0.500, 0.500, 0.000)

Computed properties:
Electronic total energy ... -87.94 eV for the cell shown
SG ... R-3m, No. 166
Total moment ... 0.0 μB per formula unit


No. 2
## Nd6CoRh2Br3 (GGA-PBE)

Data for a geometry-optimized Nd6CoRh2Br3 structure.

a b c (Å): 7.077 7.077 8.169
angles (deg): 98.28 98.28 120.02
Fractional coordinates of all 12 atoms:
Nd (0.935, 0.612, 0.806)
Nd (0.612, 0.935, 0.806)
Nd (0.065, 0.388, 0.194)
Nd (0.388, 0.065, 0.194)
Nd (0.741, 0.741, 0.195)
Nd (0.259, 0.259, 0.805)
Rh (0.333, 0.667, 0.000)
Rh (0.667, 0.333, 0.000)
Co (0.000, 0.000, 0.000)
Br (0.165, 0.835, 0.500)
Br (0.500, 0.500, 0.500)
Br (0.835, 0.165, 0.500)

Computed properties:
Electronic total energy ... -66.94 eV for the cell shown
SG ... C2/m, No. 12
Total moment ... 0.0 μB per formula unit


Q: Among the records above, which one has the highest electronic total energy?
A: Nd6CoRh2Br3


Q: Among the records above, which one has the highest electronic total energy?
A: Nd6CoRh2Br3